Entry 1:
Computed, not measured: ZrTaSCl2 at its PBEsol-relaxed geometry at the SCAN level of DFT.

a = 4.7781 Å, b = 4.6985 Å, c = 4.6985 Å
α = 90.00°, β = 90.00°, γ = 90.00°
Each line ends with the local moment (μB).
Positions (direct):
Ta (0.0000, 0.0000, 0.0000)  0.01
S (0.5000, 0.0000, 0.0000)  -0.02
Cl (0.0000, 0.5000, 0.0000)  0.01
Cl (0.0000, 0.0000, 0.5000)  0.01
Zr (0.5000, 0.5000, 0.5000)  1.60

Properties
The total moment is 0.49 μB/atom. The total energy is -123.29 eV per formula unit. For the formation energy (no corrections), the calculation gives -0.084 eV/atom.

***

Entry 2:
Computed, not measured: Ti2CdIrN at its PBEsol-relaxed geometry at the SCAN level of DFT.

a = 4.0231 Å, b = 4.0231 Å, c = 4.3604 Å
α = 90.00°, β = 90.00°, γ = 90.00°
Positions (direct):
Ti (0.5000, 0.0000, 0.0000)
Ti (0.0000, 0.5000, 0.0000)
Cd (0.0000, 0.0000, 0.5000)
Ir (0.5000, 0.5000, 0.5000)
N (0.0000, 0.0000, 0.0000)

Properties
The total moment is 0.00 μB/atom. The total energy is -145.88 eV per formula unit. For the formation energy (no corrections), the calculation gives -0.603 eV/atom.

***

Entry 3:
Computed, not measured: MgTcOs2 at its PBEsol-relaxed geometry at the SCAN level of DFT.

a = 4.3250 Å, b = 4.3250 Å, c = 4.3250 Å
α = 60.00°, β = 60.00°, γ = 60.00°
Positions (direct):
Tc (0.2500, 0.2500, 0.2500)
Os (0.7500, 0.7500, 0.7500)
Mg (0.5000, 0.5000, 0.5000)
Os (0.0000, 0.0000, 0.0000)

Properties
The total moment is 0.00 μB/atom. The total energy is -182.78 eV per formula unit.

***

Entry 4:
Computed, not measured: Mg3Hg at its PBEsol-relaxed geometry at the SCAN level of DFT.

a = 3.4251 Å, b = 3.7690 Å, c = 6.5550 Å
α = 90.00°, β = 90.00°, γ = 90.00°
Positions (direct):
Mg (0.5000, 0.5000, 0.2359)
Mg (0.5000, 0.5000, 0.7641)
Hg (0.0000, 0.0000, 0.0000)
Mg (0.0000, 0.0000, 0.5000)

Properties
The total moment is 0.00 μB/atom. The total energy is -83.90 eV per formula unit.

***

Entry 5:
Computed, not measured: SrTa2Br at its PBEsol-relaxed geometry at the SCAN level of DFT.

a = 3.1051 Å, b = 5.5024 Å, c = 5.6017 Å
α = 90.00°, β = 90.00°, γ = 90.00°
Positions (direct):
Ta (0.0000, 0.2305, 0.0000)
Br (0.5000, 0.5000, 0.5000)
Sr (0.5000, 0.0000, 0.5000)
Ta (0.0000, 0.7695, 0.0000)

Properties
The total moment is 0.00 μB/atom. For the energy above the most stable polymorph in this dataset, the calculation gives 364 kJ/mol of formula units. The total energy is -171.04 eV per formula unit. For the formation energy (no corrections), the calculation gives 0.965 eV/atom.

***

Entry 6:
Computed, not measured: ZnNClF2 at its PBEsol-relaxed geometry at the SCAN level of DFT.

a = 3.2352 Å, b = 4.6974 Å, c = 4.6974 Å
α = 90.00°, β = 90.00°, γ = 90.00°
Positions (direct):
Zn (0.5000, 0.5000, 0.5000)
F (0.0000, 0.5000, 0.0000)
Cl (0.0000, 0.0000, 0.0000)
F (0.0000, 0.0000, 0.5000)
N (0.5000, 0.0000, 0.0000)

Properties
The total moment is 0.00 μB/atom. The total energy is -35.00 eV per formula unit. For the formation energy (no corrections), the calculation gives 0.573 eV/atom.

***

Entry 7:
Computed, not measured: GePbSe2Br at its PBEsol-relaxed geometry at the SCAN level of DFT.

a = 5.3729 Å, b = 5.3729 Å, c = 5.4463 Å
α = 90.00°, β = 90.00°, γ = 90.00°
Positions (direct):
Se (0.0000, 0.5000, 0.0000)
Se (0.5000, 0.0000, 0.0000)
Pb (0.0000, 0.0000, 0.0000)
Ge (0.5000, 0.5000, 0.5000)
Br (0.0000, 0.0000, 0.5000)

Properties
The total moment is 0.00 μB/atom. The total energy is -152.22 eV per formula unit. For the formation energy (no corrections), the calculation gives 0.453 eV/atom.

***

Entry 8:
Computed, not measured: IrRuBr at its PBEsol-relaxed geometry at the SCAN level of DFT.

a = 4.2537 Å, b = 4.2537 Å, c = 4.2537 Å
α = 60.00°, β = 60.00°, γ = 60.00°
Positions (direct):
Ir (0.7500, 0.7500, 0.7500)
Ru (0.0000, 0.0000, 0.0000)
Br (0.5000, 0.5000, 0.5000)

Properties
The total moment is 0.00 μB/atom. For the energy above the most stable polymorph in this dataset, the calculation gives 67 kJ/mol of formula units. The total energy is -121.74 eV per formula unit. For the formation energy (no corrections), the calculation gives 1.216 eV/atom.